# 1
Density functional theory data (SCAN) for a PBEsol-optimized structure of KGe3O.

```
KGe3O
1.0
-3.8407 2.0234 -1.5225
-2.4964 -3.4892 1.6603
-0.4245 2.2123 4.0110
Ge K O
3 1 1
Cartesian
-1.9203 1.0117 -0.7612
-1.2482 -1.7446 0.8301
-0.2123 1.1061 2.0055
-3.3808 0.3732 2.0744
0.0000 0.0000 0.0000
```

Output
Energy relative to the elements, uncorrected ... 193.9 meV per atom
V ... 19.47 A^3/atom

---

# 2
Density functional theory data (SCAN) for a PBEsol-optimized structure of KGePO5.

```
KGePO5
1.0
-5.3817 2.6894 -1.9084
1.1238 -4.2150 -9.1091
-6.4539 -10.1479 3.8994
O Ge P K
40 8 8 8
Cartesian
-6.2907 -12.3241 -5.9684
-7.1487 -6.8421 0.9053
-9.3405 -7.7037 -4.5654
-5.9458 -2.3512 -6.7670
-4.6795 -0.1572 -7.5845
-5.5981 -4.1863 -0.2344
-6.2970 -10.5236 2.6118
-6.8573 -1.9340 -0.3218
-6.7388 -7.7913 -1.4616
-3.8482 -3.7618 -5.7119
-4.6123 -6.5372 -0.1079
-5.0223 -8.3608 1.7268
-10.6112 -11.0429 -6.0070
-3.4717 -2.3735 -8.0023
-8.6949 -10.3720 -4.4362
-6.6916 -9.8281 -6.2291
-9.4252 -7.3372 1.8616
-2.4852 -7.5393 -7.7130
-7.3217 -7.1361 -6.2736
-1.6565 -2.9002 -0.2411
-2.0642 -1.1240 -2.2983
-5.4747 -5.5510 -2.3155
-4.6633 -9.2235 -0.6595
-1.7740 -2.5079 -5.0282
-5.7368 -3.6188 -8.9845
-4.3420 -7.9111 -2.8448
-1.3119 -3.8167 -2.6312
-9.1117 -8.9377 -6.8229
-4.9543 -7.1833 -7.0950
-4.1491 -2.1107 -1.0576
-3.7085 -3.0142 -3.4149
-6.8191 -8.6014 -3.9827
0.1823 -1.6914 -3.4035
-3.9201 -1.2286 -5.2110
-5.3784 -6.4945 -4.7383
-3.3351 -4.7435 -1.2898
-6.1468 -4.9588 -6.6266
-7.1852 -9.5060 0.4389
-7.7255 -6.0135 -3.4664
-3.6848 -4.9631 -7.9925
-5.6253 -8.8334 3.3750
-4.8317 -3.6924 -7.3178
-5.0684 -2.4251 0.4784
-2.6900 -2.9094 -1.8169
-8.0155 -8.7880 -5.3528
-6.2015 -7.1548 -3.0719
-5.8737 -8.0050 0.1482
-5.6447 -0.7465 -5.9685
-4.7555 -5.2611 -0.9671
-5.9532 -6.4239 -6.1758
-9.1838 -6.3432 -3.8382
-10.0799 -11.0482 -4.5452
-3.3058 -2.5941 -4.8478
-0.6288 -0.6368 -2.5977
-7.9596 -7.0030 2.2172
-2.0816 -3.2539 1.2076
-6.2878 -3.0673 -2.8306
-1.3626 -3.8897 -7.4415
-4.2885 -9.1141 -5.3851
-6.7905 -10.5889 -2.2624
-9.2138 -8.2917 -0.7742
-2.9083 -5.8424 -3.9798
-4.3376 0.4768 -1.4811
-8.2198 -4.2696 0.2362
```

Output
Energy relative to the elements, uncorrected ... -2270.6 meV per atom
V ... 12.59 A^3/atom

---

> Which of these has the lowest energy relative to the elements, uncorrected?

KGePO5

---

> Number 2 is which compound?

KGePO5

---

> What is the formula in the second record?

KGePO5

---

> Look up the V of the second one.

12.59 A^3/atom